Record 1
## KSr2As (PBE-GGA)

Data for crystalline KSr2As at its relaxed geometry.

```
data_KSr2As
_symmetry_space_group_name_H-M 'I m m 2'
_symmetry_Int_Tables_number 44
_symmetry_space_group_name_Hall 'I 2 -2'
_cell_length_a 4.164
_cell_length_b 4.516
_cell_length_c 20.756
_cell_angle_alpha 90.00
_cell_angle_beta 90.00
_cell_angle_gamma 90.00
loop_
_atom_site_label
_atom_site_fract_x
_atom_site_fract_y
_atom_site_fract_z
_atom_site_occupancy
K1 0.000 0.000 0.000 1
Sr1 0.000 0.000 0.668 1
Sr2 0.000 0.500 0.816 1
As1 0.000 0.500 0.278 1
```

calculated total energy: -2.788 eV per atom
ΔE_f: -0.511 eV per atom

Record 2
## YBe3Cu10 (PBE-GGA)

Data for crystalline YBe3Cu10 at its relaxed geometry.

```
data_YBe3Cu10
_symmetry_space_group_name_H-M 'F m -3 m'
_symmetry_Int_Tables_number 225
_symmetry_space_group_name_Hall '-F 4 2 3'
_cell_length_a 11.267
_cell_length_b 11.267
_cell_length_c 11.267
_cell_angle_alpha 90.00
_cell_angle_beta 90.00
_cell_angle_gamma 90.00
loop_
_atom_site_label
_atom_site_fract_x
_atom_site_fract_y
_atom_site_fract_z
_atom_site_occupancy
Y1 0.250 0.250 0.250 1
Be1 0.000 0.000 0.237 1
Cu1 0.000 0.172 0.328 1
Cu2 0.111 0.111 0.111 1
```

calculated total energy: -4.169 eV per atom
ΔE_f: 0.017 eV per atom

Record 3
## Pr3Al9Ni2 (PBE-GGA)

Data for crystalline Pr3Al9Ni2 at its relaxed geometry.

```
data_Pr3Al9Ni2
_symmetry_space_group_name_H-M 'I m m m'
_symmetry_Int_Tables_number 71
_symmetry_space_group_name_Hall '-I 2 2'
_cell_length_a 4.322
_cell_length_b 10.118
_cell_length_c 12.462
_cell_angle_alpha 90.00
_cell_angle_beta 90.00
_cell_angle_gamma 90.00
loop_
_atom_site_label
_atom_site_fract_x
_atom_site_fract_y
_atom_site_fract_z
_atom_site_occupancy
Pr1 0.000 0.000 0.000 1
Pr2 0.000 0.000 0.314 1
Al1 0.000 0.280 0.118 1
Al2 0.000 0.362 0.341 1
Al3 0.000 0.500 0.000 1
Ni1 0.000 0.217 0.500 1
```

calculated total energy: -4.744 eV per atom
ΔE_f: -0.488 eV per atom